Record 1
PBE In3Sn2HgSe8, relaxed; E_tot = -3.556 eV/atom; formation energy from raw total energies = -0.385 eV per atom
1.0
4.1739 2.4098 6.7988
-4.1739 2.4098 6.7988
0.0000 -4.8196 6.7988
In Sn Hg Se
3 2 1 8
Direct
0.1689 0.1689 0.6622
0.1689 0.6622 0.1689
0.6622 0.1689 0.1689
0.1672 0.1672 0.1672
0.7903 0.7903 0.7903
0.5451 0.5451 0.5451
0.3873 0.9204 0.9204
0.4076 0.4076 0.4076
0.4112 0.4112 0.9462
0.4112 0.9462 0.4112
0.9204 0.3873 0.9204
0.9204 0.9204 0.3873
0.9305 0.9305 0.9305
0.9462 0.4112 0.4112



Record 2
PBE Sb3MoH, relaxed; E_tot = -4.503 eV/atom
1.0
5.1915 0.0000 0.0000
0.0000 5.1915 0.0000
0.0000 0.0000 5.1915
Sb Mo H
3 1 1
Direct
0.0000 0.0000 0.5000
0.0000 0.5000 0.0000
0.5000 0.0000 0.0000
0.0000 0.0000 0.0000
0.5000 0.5000 0.5000



Record 3
PBE Tb11Mg9Cd4, relaxed; formation energy = -0.14 eV/atom; E_tot = -3.012 eV/atom
1.0
7.5637 -11.2684 0.0000
7.5637 11.2684 0.0000
0.0000 0.0000 3.8199
Tb Mg Cd
11 9 4
Direct
0.0000 0.0000 0.0000
0.0689 0.4119 0.0000
0.1680 0.8320 0.0000
0.2588 0.2588 0.0000
0.3487 0.6513 0.0000
0.4119 0.0689 0.0000
0.5881 0.9311 0.0000
0.6513 0.3487 0.0000
0.7412 0.7412 0.0000
0.8320 0.1680 0.0000
0.9311 0.5881 0.0000
0.0456 0.2066 0.5000
0.1418 0.6266 0.5000
0.2066 0.0456 0.5000
0.3734 0.8582 0.5000
0.5000 0.5000 0.5000
0.6266 0.1418 0.5000
0.7934 0.9544 0.5000
0.8582 0.3734 0.5000
0.9544 0.7934 0.5000
0.2653 0.4490 0.5000
0.4490 0.2653 0.5000
0.5510 0.7347 0.5000
0.7347 0.5510 0.5000



Record 4
PBE Tl4Co3, relaxed; formation energy = 0.56 eV/atom; E_tot = -3.837 eV/atom
1.0
5.0613 0.0000 0.0000
-2.5307 4.3833 0.0000
0.0000 0.0000 6.6496
Tl Co
4 3
Direct
0.0000 0.0000 0.2264
0.0000 0.0000 0.7736
0.3333 0.6667 0.5000
0.6667 0.3333 0.5000
0.0000 0.5000 0.0000
0.5000 0.0000 0.0000
0.5000 0.5000 0.0000



Record 5
PBE CrInP2S, relaxed; distance to the lowest polymorph of the same formula = 959 meV per atom; E_tot = -4.292 eV/atom; formation energy from raw total energies = 1.170 eV per atom
1.0
4.9923 0.0000 0.0000
0.0000 4.9923 0.0000
0.0000 0.0000 5.0346
Cr In P S
1 1 2 1
Direct
0.0000 0.0000 0.0000
0.5000 0.5000 0.5000
0.0000 0.5000 0.5000
0.5000 0.0000 0.5000
0.5000 0.5000 0.0000



Record 6
PBE UGeSb, relaxed; E_tot = -6.934 eV/atom; formation energy from raw total energies = -0.258 eV per atom
1.0
4.3972 0.0000 0.0000
0.0000 15.7012 0.0000
0.0000 0.0000 4.0762
U Ge Sb
4 4 4
Direct
0.0000 0.0927 0.2500
0.0000 0.9073 0.7500
0.5000 0.4073 0.7500
0.5000 0.5927 0.2500
0.0000 0.4451 0.2500
0.0000 0.5549 0.7500
0.5000 0.0549 0.7500
0.5000 0.9451 0.2500
0.0000 0.2520 0.7500
0.0000 0.7480 0.2500
0.5000 0.2480 0.2500
0.5000 0.7520 0.7500